(1)
{"formula": "Al2Au", "functional": "PBE", "state": "optimized geometry", "cell": [[0.000, 3.744, 3.744], [3.744, 0.000, 3.744], [3.744, 3.744, 0.000]], "species": ["Al", "Al", "Al", "Al", "Au", "Au"], "fractional_positions": [[0.625, 0.625, 0.625], [0.625, 0.125, 0.625], [0.125, 0.625, 0.625], [0.625, 0.625, 0.125], [0.000, 0.000, 0.000], [0.250, 0.250, 0.250]], "dft_energy_ev_per_cell": -20.77}


(2)
{"formula": "Al2Au", "functional": "PBE", "state": "optimized geometry", "cell": [[-1.928, -2.486, -4.979], [4.522, -3.771, 0.132], [-2.098, -2.445, 2.033]], "species": ["Au", "Au", "Al", "Al", "Al", "Al"], "fractional_positions": [[0.000, 0.000, 0.000], [0.500, 0.500, 0.500], [0.202, 0.798, 0.500], [0.702, 0.702, 0.000], [0.798, 0.202, 0.500], [0.298, 0.298, 0.000]], "dft_energy_ev_per_cell": -21.99}


(3)
{"formula": "Al3Au", "functional": "PBE", "state": "optimized geometry", "cell": [[5.792, 0.000, 0.000], [-2.896, 5.016, 0.000], [0.000, 0.000, 4.640]], "species": ["Al", "Al", "Al", "Al", "Al", "Al", "Au", "Au"], "fractional_positions": [[0.328, 0.164, 0.750], [0.672, 0.836, 0.250], [0.836, 0.164, 0.750], [0.164, 0.328, 0.250], [0.164, 0.836, 0.250], [0.836, 0.672, 0.750], [0.333, 0.667, 0.750], [0.667, 0.333, 0.250]], "dft_energy_ev_per_cell": -29.40}